# KRuBr2 GGA-PBE relaxed
data_KRuBr2
_chemical_formula_sum 'K1 Ru1 Br2'
_cell_length_a 7.5852
_cell_length_b 7.5852
_cell_length_c 7.5852
_cell_angle_alpha 148.07
_cell_angle_beta 148.07
_cell_angle_gamma 45.78
_space_group_name_H-M_alt 'P 1'
_space_group_IT_number 1
loop_
_space_group_symop_operation_xyz
'x,y,z'
loop_
_atom_site_label
_atom_site_type_symbol
_atom_site_fract_x
_atom_site_fract_y
_atom_site_fract_z
Br1 Br 0.0000 0.0000 0.0000
Br2 Br 0.2500 0.7500 0.5000
Ru1 Ru 0.7500 0.2500 0.5000
K1 K 0.5000 0.5000 0.0000
# Total moment, μB/f.u.: 2.98
# Symmetry: I-4m2, No. 119
# Polymorph energy (0 for the lowest one), eV per atom: 0.3856
# Volume, Å³ per cell: 122
# Density, g/cm³: 4.1
# Crystal system: tetragonal